# 1
# LaThCl6

A relaxed structure of LaThCl6 (GGA-PBE, Alexandria).

a b c (Å): 6.9888 6.9893 7.6048
angles (deg): 62.63 62.69 60.02
With the nearest neighbours (Å) after each atom.
Element x y z (fractional)
La (0.5000, 0.5000, 0.5000)  6 Cl 2.86
Th (0.0000, 0.0000, 0.0000)  6 Cl 2.75
Cl (0.0872, 0.4014, 0.7537)  1 Th 2.75, 1 La 2.86
Cl (0.7573, 0.0868, 0.7541)  1 Th 2.75, 1 La 2.86
Cl (0.5992, 0.2425, 0.2458)  1 Th 2.75, 1 La 2.86
Cl (0.2427, 0.9132, 0.2459)  1 Th 2.75, 1 La 2.86
Cl (0.9128, 0.5986, 0.2463)  1 Th 2.75, 1 La 2.86
Cl (0.4008, 0.7575, 0.7542)  1 Th 2.75, 1 La 2.86

Summary:
Its symmetry is R-3 (148). As for the raw formation energy: -200.2 kJ per mole of atoms. For the electronic total energy, the calculation gives -40.0 eV per cell.

=====

# 2
# LaTiCl3

A relaxed structure of LaTiCl3 (GGA-PBE, Alexandria).

a b c (Å): 5.5707 5.5707 5.5707
angles (deg): 90.00 90.00 90.00
With the nearest neighbours (Å) after each atom.
Element x y z (fractional)
Cl (0.0000, 0.5000, 0.0000)  2 La 2.79
Cl (0.0000, 0.0000, 0.5000)  2 La 2.79
Cl (0.5000, 0.0000, 0.0000)  2 La 2.79
Ti (0.5000, 0.5000, 0.5000)  12 Cl 3.94
La (0.0000, 0.0000, 0.0000)  6 Cl 2.79

Summary:
Its symmetry is Pm-3m (221). As for the raw formation energy: -84.3 kJ per mole of atoms. The polymorph energy (0 for the lowest one) comes out at 226 meV/atom. For the electronic total energy, the calculation gives -22.7 eV per cell.

=====

# 3
# La2TiCl2

A relaxed structure of La2TiCl2 (GGA-PBE, Alexandria).

a b c (Å): 5.8245 5.8245 5.7155
angles (deg): 59.37 59.37 90.00
With the nearest neighbours (Å) after each atom.
Element x y z (fractional)
Cl (0.3013, 0.3013, 0.3973)  1 Ti 2.39
Cl (0.6987, 0.6987, 0.6027)  1 Ti 2.39
Ti (0.0000, 0.0000, 0.0000)  2 Cl 2.39
La (0.7500, 0.2500, 0.5000)  4 Cl 2.94
La (0.2500, 0.7500, 0.5000)  4 Cl 2.94

Summary:
Its symmetry is I4/mmm (139). As for the raw formation energy: -79.4 kJ per mole of atoms. The polymorph energy (0 for the lowest one) comes out at 0 meV/atom. For the electronic total energy, the calculation gives -25.6 eV per cell.

=====

# 4
# La2TiCl2

A relaxed structure of La2TiCl2 (GGA-PBE, Alexandria).

a b c (Å): 8.3831 8.3831 3.5010
angles (deg): 90.00 90.00 90.00
With the nearest neighbours (Å) after each atom.
Element x y z (fractional)
Cl (0.3744, 0.8744, 0.0000)  6 La 2.91-3.12, 1 Cl 2.98
Cl (0.8744, 0.6256, 0.0000)  6 La 2.91-3.12, 1 Cl 2.98
Cl (0.6256, 0.1256, 0.0000)  6 La 2.91-3.12, 1 Cl 2.98
Cl (0.1256, 0.3744, 0.0000)  6 La 2.91-3.12, 1 Cl 2.98
Ti (0.0000, 0.0000, 0.0000)  4 Cl 3.31, 2 Ti 3.50, 8 La 3.54
Ti (0.5000, 0.5000, 0.0000)  4 Cl 3.31, 2 Ti 3.50, 8 La 3.54
La (0.1785, 0.6785, 0.5000)  6 Cl 2.91-3.12
La (0.6785, 0.8215, 0.5000)  6 Cl 2.91-3.12
La (0.8215, 0.3215, 0.5000)  6 Cl 2.91-3.12
La (0.3215, 0.1785, 0.5000)  6 Cl 2.91-3.12

Summary:
Its symmetry is P4/mbm (127). As for the raw formation energy: -73.0 kJ per mole of atoms. The polymorph energy (0 for the lowest one) comes out at 66 meV/atom. For the electronic total energy, the calculation gives -50.4 eV per cell.

=====

# 5
# La3TiCl

A relaxed structure of La3TiCl (GGA-PBE, Alexandria).

a b c (Å): 5.4463 5.4463 5.4463
angles (deg): 90.00 90.00 90.00
With the nearest neighbours (Å) after each atom.
Element x y z (fractional)
Cl (0.0000, 0.0000, 0.0000)  6 La 2.72
Ti (0.5000, 0.5000, 0.5000)  12 La 3.85
La (0.0000, 0.5000, 0.0000)  2 Cl 2.72
La (0.0000, 0.0000, 0.5000)  2 Cl 2.72
La (0.5000, 0.0000, 0.0000)  2 Cl 2.72

Summary:
Its symmetry is Pm-3m (221). As for the raw formation energy: -17.9 kJ per mole of atoms. The polymorph energy (0 for the lowest one) comes out at 0 meV/atom. For the electronic total energy, the calculation gives -25.4 eV per cell.

=====

# 6
# LaTi2Cl

A relaxed structure of LaTi2Cl (GGA-PBE, Alexandria).

a b c (Å): 4.8260 4.8260 4.8260
angles (deg): 60.00 60.00 60.00
With the nearest neighbours (Å) after each atom.
Element x y z (fractional)
Cl (0.0000, 0.0000, 0.0000)  8 Ti 2.96
Ti (0.2500, 0.2500, 0.2500)  4 La 2.96, 4 Cl 2.96
Ti (0.7500, 0.7500, 0.7500)  4 Cl 2.96, 4 La 2.96
La (0.5000, 0.5000, 0.5000)  8 Ti 2.96

Summary:
Its symmetry is Fm-3m (225). As for the raw formation energy: 50.4 kJ per mole of atoms. The polymorph energy (0 for the lowest one) comes out at 584 meV/atom. For the electronic total energy, the calculation gives -20.5 eV per cell.

=====

# 7
# La2TiCl

A relaxed structure of La2TiCl (GGA-PBE, Alexandria).

a b c (Å): 6.3334 6.3334 8.0185
angles (deg): 66.74 66.74 90.00
With the nearest neighbours (Å) after each atom.
Element x y z (fractional)
Cl (0.5000, 0.5000, 0.0000)  4 La 2.88
Cl (0.2500, 0.7500, 0.5000)  4 La 2.88
Ti (0.0000, 0.0000, 0.0000)  4 La 2.70
Ti (0.7500, 0.2500, 0.5000)  4 La 2.70
La (0.6495, 0.1250, 0.2500)  2 Ti 2.70, 2 Cl 2.88
La (0.1005, 0.6250, 0.2500)  2 Ti 2.70, 2 Cl 2.88
La (0.3750, 0.3505, 0.7500)  2 Ti 2.70, 2 Cl 2.88
La (0.8750, 0.8995, 0.7500)  2 Ti 2.70, 2 Cl 2.88

Summary:
Its symmetry is I-42d (122). As for the raw formation energy: 8.4 kJ per mole of atoms. The polymorph energy (0 for the lowest one) comes out at 135 meV/atom. For the electronic total energy, the calculation gives -38.5 eV per cell.

=====

# 8
# LaTiCl3

A relaxed structure of LaTiCl3 (GGA-PBE, Alexandria).

a b c (Å): 4.8512 4.8512 4.8512
angles (deg): 90.00 90.00 90.00
With the nearest neighbours (Å) after each atom.
Element x y z (fractional)
Cl (0.0000, 0.5000, 0.0000)  2 Ti 2.43
Cl (0.0000, 0.0000, 0.5000)  2 Ti 2.43
Cl (0.5000, 0.0000, 0.0000)  2 Ti 2.43
La (0.5000, 0.5000, 0.5000)  12 Cl 3.43
Ti (0.0000, 0.0000, 0.0000)  6 Cl 2.43

Summary:
Its symmetry is Pm-3m (221). As for the raw formation energy: -106.0 kJ per mole of atoms. The polymorph energy (0 for the lowest one) comes out at 0 meV/atom. For the electronic total energy, the calculation gives -23.9 eV per cell.

=====

# 9
# LaTi3Cl

A relaxed structure of LaTi3Cl (GGA-PBE, Alexandria).

a b c (Å): 4.8987 4.8987 4.8987
angles (deg): 90.00 90.00 90.00
With the nearest neighbours (Å) after each atom.
Element x y z (fractional)
Cl (0.5000, 0.5000, 0.5000)  12 Ti 3.46
Ti (0.0000, 0.5000, 0.0000)  2 La 2.45
Ti (0.0000, 0.0000, 0.5000)  2 La 2.45
Ti (0.5000, 0.0000, 0.0000)  2 La 2.45
La (0.0000, 0.0000, 0.0000)  6 Ti 2.45

Summary:
Its symmetry is Pm-3m (221). As for the raw formation energy: 136.6 kJ per mole of atoms. The polymorph energy (0 for the lowest one) comes out at 1350 meV/atom. For the electronic total energy, the calculation gives -23.4 eV per cell.

=====

# 10
# LaTi3Cl

A relaxed structure of LaTi3Cl (GGA-PBE, Alexandria).

a b c (Å): 4.7068 4.7068 4.7068
angles (deg): 90.00 90.00 90.00
With the nearest neighbours (Å) after each atom.
Element x y z (fractional)
Cl (0.0000, 0.0000, 0.0000)  6 Ti 2.35
Ti (0.0000, 0.5000, 0.0000)  2 Cl 2.35
Ti (0.0000, 0.0000, 0.5000)  2 Cl 2.35
Ti (0.5000, 0.0000, 0.0000)  2 Cl 2.35
La (0.5000, 0.5000, 0.5000)  12 Ti 3.33

Summary:
Its symmetry is Pm-3m (221). As for the raw formation energy: 6.4 kJ per mole of atoms. The polymorph energy (0 for the lowest one) comes out at 0 meV/atom. For the electronic total energy, the calculation gives -30.1 eV per cell.

=====

# 11
# LaTiCl2

A relaxed structure of LaTiCl2 (GGA-PBE, Alexandria).

a b c (Å): 4.7793 4.7793 9.3316
angles (deg): 75.16 75.16 90.00
With the nearest neighbours (Å) after each atom.
Element x y z (fractional)
Cl (0.5838, 0.1250, 0.2500)  2 Ti 2.67, 2 La 2.84
Cl (0.1662, 0.6250, 0.2500)  2 Ti 2.67, 2 La 2.84
Cl (0.3750, 0.4162, 0.7500)  2 Ti 2.67, 2 La 2.84
Cl (0.8750, 0.8338, 0.7500)  2 Ti 2.67, 2 La 2.84
Ti (0.5000, 0.5000, 0.0000)  4 Cl 2.67
Ti (0.2500, 0.7500, 0.5000)  4 Cl 2.67
La (0.0000, 0.0000, 0.0000)  4 Cl 2.84
La (0.7500, 0.2500, 0.5000)  4 Cl 2.84

Summary:
Its symmetry is I-42d (122). As for the raw formation energy: -77.8 kJ per mole of atoms. The polymorph energy (0 for the lowest one) comes out at 154 meV/atom. For the electronic total energy, the calculation gives -39.5 eV per cell.

=====

# 12
# LaTiCl2

A relaxed structure of LaTiCl2 (GGA-PBE, Alexandria).

a b c (Å): 9.4133 9.4133 9.4133
angles (deg): 21.31 21.31 21.31
With the nearest neighbours (Å) after each atom.
Element x y z (fractional)
Cl (0.9114, 0.9114, 0.9114)  1 Ti 2.45
Cl (0.0886, 0.0886, 0.0886)  1 Ti 2.45
Ti (0.0000, 0.0000, 0.0000)  2 Cl 2.45
La (0.5000, 0.5000, 0.5000)  6 Cl 2.95

Summary:
Its symmetry is R-3m (166). As for the raw formation energy: -92.6 kJ per mole of atoms. The polymorph energy (0 for the lowest one) comes out at 0 meV/atom. For the electronic total energy, the calculation gives -20.4 eV per cell.

=====

Total magnetization readings, ordered: 1.2; 3.8; 1.8; 0.0; 0.0; 0.0; 0.0; 2.5; 0.0; 1.2; 1.9; 1.6 μB per formula unit